(1)
A plane-wave DFT calculation with GGA-PBE was carried out for a relaxed YCoMoPb crystal.

Unit cell a=4.7724 b=4.7724 c=4.7724 alpha=60.00 beta=60.00 gamma=60.00
With the nearest neighbours (Å) after each atom.
Fractional positions:
Y 0.0000 0.0000 0.0000  4 Mo 2.92, 4 Co 2.92
Co 0.7500 0.7500 0.7500  4 Pb 2.92, 4 Y 2.92
Mo 0.2500 0.2500 0.2500  4 Pb 2.92, 4 Y 2.92
Pb 0.5000 0.5000 0.5000  4 Mo 2.92, 4 Co 2.92

Properties
Crystal system: cubic
Space group: F-43m
Energy relative to the lowest polymorph listed for this composition in eV/atom: 0.000

---

(2)
A plane-wave DFT calculation with GGA-PBE was carried out for a relaxed NbCdPt crystal.

Unit cell a=4.4353 b=4.4353 c=4.4353 alpha=60.00 beta=60.00 gamma=60.00
With the nearest neighbours (Å) after each atom.
Fractional positions:
Nb 0.0000 0.0000 0.0000  4 Pt 2.72
Cd 0.5000 0.5000 0.5000  4 Pt 2.72
Pt 0.7500 0.7500 0.7500  4 Cd 2.72, 4 Nb 2.72

Properties
Crystal system: cubic
Formation energy in eV/atom: -0.082
Space group: F-43m

---

(3)
A plane-wave DFT calculation with GGA-PBE was carried out for a relaxed SrPmCo crystal.

Unit cell a=7.4112 b=7.4112 c=4.9102 alpha=90.00 beta=90.00 gamma=120.00
With the nearest neighbours (Å) after each atom.
Fractional positions:
Sr 0.0000 0.5609 0.0000  5 Pm 3.25-3.29, 2 Co 3.59
Sr 0.4391 0.4391 0.0000  5 Pm 3.25-3.29, 2 Co 3.59
Sr 0.5609 0.0000 0.0000  5 Pm 3.25-3.29, 2 Co 3.59
Pm 0.0000 0.0000 0.0000  6 Co 2.90
Pm 0.3333 0.6667 0.5000  3 Co 3.04, 6 Sr 3.29
Pm 0.6667 0.3333 0.5000  3 Co 3.04, 6 Sr 3.29
Co 0.0000 0.2081 0.5000  2 Co 2.67, 2 Pm 2.90
Co 0.2081 0.0000 0.5000  2 Co 2.67, 2 Pm 2.90
Co 0.7919 0.7919 0.5000  2 Co 2.67, 2 Pm 2.90

Properties
Crystal system: hexagonal
Space group: P-62m
Energy relative to the lowest polymorph listed for this composition in eV/atom: 0.225

---

(4)
A plane-wave DFT calculation with GGA-PBE was carried out for a relaxed Gd2B4Pd5 crystal.

Unit cell a=7.7416 b=6.4811 c=5.6951 alpha=78.67 beta=55.17 gamma=46.16
With the nearest neighbours (Å) after each atom.
Fractional positions:
Gd 0.1489 0.1489 0.8511  6 B 2.96-3.08, 6 Pd 3.09-3.21
Gd 0.8511 0.8511 0.1489  6 B 2.96-3.08, 6 Pd 3.09-3.21
B 0.2177 0.5141 0.4859  5 Pd 2.17-2.31
B 0.4859 0.7823 0.2177  5 Pd 2.17-2.31
B 0.5141 0.2177 0.7823  5 Pd 2.17-2.31
B 0.7823 0.4859 0.5141  5 Pd 2.17-2.31
Pd 0.0000 0.0000 0.5000  4 B 2.31
Pd 0.2500 0.2500 0.2500  4 B 2.17
Pd 0.5000 0.5000 0.0000  4 B 2.31
Pd 0.5000 0.5000 0.5000  4 B 2.17
Pd 0.7500 0.7500 0.7500  4 B 2.17

Properties
Electronic total energy in eV for the cell shown: -65.55
Crystal system: orthorhombic
Space group: Fmmm

---

(5)
A plane-wave DFT calculation with GGA-PBE was carried out for a relaxed NbCoNiB crystal.

Unit cell a=4.0189 b=4.0189 c=4.0189 alpha=60.00 beta=60.00 gamma=60.00
With the nearest neighbours (Å) after each atom.
Fractional positions:
Nb 0.0000 0.0000 0.0000  4 Co 2.46, 4 B 2.46
Co 0.7500 0.7500 0.7500  4 Ni 2.46, 4 Nb 2.46
Ni 0.5000 0.5000 0.5000  4 Co 2.46, 4 B 2.46
B 0.2500 0.2500 0.2500  4 Ni 2.46, 4 Nb 2.46

Properties
Crystal system: cubic
Space group: F-43m
Energy relative to the lowest polymorph listed for this composition in eV/atom: 0.056

---

(6)
A plane-wave DFT calculation with GGA-PBE was carried out for a relaxed ScZn2As crystal.

Unit cell a=4.6681 b=4.6681 c=4.6681 alpha=60.00 beta=60.00 gamma=60.00
With the nearest neighbours (Å) after each atom.
Fractional positions:
Sc 0.0000 0.0000 0.0000  4 As 2.86, 4 Zn 2.86
Zn 0.2500 0.2500 0.2500  4 Sc 2.86, 4 Zn 2.86
Zn 0.5000 0.5000 0.5000  4 As 2.86, 4 Zn 2.86
As 0.7500 0.7500 0.7500  4 Zn 2.86, 4 Sc 2.86

Properties
Electronic total energy in eV for the cell shown: -14.27
Crystal system: cubic
Space group: F-43m

---

(7)
A plane-wave DFT calculation with GGA-PBE was carried out for a relaxed Tl4Pd3 crystal.

Unit cell a=6.9024 b=6.9024 c=5.7412 alpha=105.28 beta=105.28 gamma=37.55
With the nearest neighbours (Å) after each atom.
Fractional positions:
Tl 0.0702 0.0702 0.3091  5 Pd 2.83-3.01
Tl 0.3280 0.3280 0.1946  5 Pd 2.77-2.93
Tl 0.6720 0.6720 0.8054  5 Pd 2.77-2.93
Tl 0.9298 0.9298 0.6909  5 Pd 2.83-3.01
Pd 0.2879 0.2879 0.6671  7 Tl 2.87-3.01, 3 Pd 2.90-2.92
Pd 0.5000 0.5000 0.0000  6 Tl 2.77-2.83, 2 Pd 2.90
Pd 0.7121 0.7121 0.3329  7 Tl 2.87-3.01, 3 Pd 2.90-2.92

Properties
Electronic total energy in eV for the cell shown: -26.11
Crystal system: monoclinic
Space group: C2/m

---

(8)
A plane-wave DFT calculation with GGA-PBE was carried out for a relaxed Gd2Ho2B3 crystal.

Unit cell a=9.9568 b=9.9568 c=5.4616 alpha=90.00 beta=90.00 gamma=160.74
With the nearest neighbours (Å) after each atom.
Fractional positions:
Gd 0.1766 0.8234 0.0000  2 B 2.98, 4 Ho 3.32, 4 Gd 3.33
Gd 0.8234 0.1766 0.0000  2 B 2.98, 4 Ho 3.32, 4 Gd 3.33
Ho 0.3692 0.6308 0.5000  4 B 2.57-2.67
Ho 0.6308 0.3692 0.5000  4 B 2.57-2.67
B 0.2373 0.7627 0.5000  2 B 1.74
B 0.5000 0.5000 0.5000  2 Ho 2.57
B 0.7627 0.2373 0.5000  2 B 1.74

Properties
Electronic total energy in eV for the cell shown: -33.32
Crystal system: orthorhombic
Space group: Cmmm